## DyYTcNi (PBE)

Data for an optimized crystal structure of DyYTcNi.

Computed properties:
formation energy from the elements = -0.097 eV/atom
space-group type = F-43m (216)

Geometry as extended XYZ:
```
4
Lattice="0.000 3.406 3.406 3.406 0.000 3.406 3.406 3.406 0.000" Properties=species:S:1:pos:R:3 pbc="T T T"
Dy 0.000 0.000 0.000
Y 3.406 3.406 3.406
Tc 1.703 1.703 1.703
Ni 5.108 5.108 5.108
```

## Dy5NiTe2 (PBE)

Data for an optimized crystal structure of Dy5NiTe2.

Computed properties:
E above lowest polymorph = 0 meV/atom
ΔE_f (raw) = -576.7 kJ/mol of formula units
space-group type = Pbam (55)

Geometry as extended XYZ:
```
16
Lattice="8.195 0.000 0.000 0.000 13.163 0.000 0.000 0.000 4.013" Properties=species:S:1:pos:R:3 pbc="T T T"
Dy 0.000 0.000 0.000
Dy 1.356 4.187 0.000
Dy 1.371 7.689 2.007
Dy 2.727 1.107 2.007
Dy 2.741 10.768 0.000
Dy 4.098 6.582 0.000
Dy 5.454 2.395 0.000
Dy 5.468 12.056 2.007
Dy 6.824 5.474 2.007
Dy 6.839 8.977 0.000
Ni 0.000 6.582 0.000
Ni 4.098 0.000 0.000
Te 0.302 10.767 2.007
Te 3.795 4.185 2.007
Te 4.400 8.978 2.007
Te 7.893 2.396 2.007
```

## Dy2NiTe (PBE)

Data for an optimized crystal structure of Dy2NiTe.

Computed properties:
E above lowest polymorph = 20 meV/atom
ΔE_f (raw) = -314.2 kJ/mol of formula units
space-group type = R3m (160)

Geometry as extended XYZ:
```
4
Lattice="2.047 1.182 7.130 -2.047 1.182 7.130 0.000 -2.363 7.130" Properties=species:S:1:pos:R:3 pbc="T T T"
Dy 0.000 0.000 0.000
Dy 0.000 0.000 4.242
Ni 0.000 0.000 12.852
Te 0.000 0.000 16.379
```

## Dy2NiTe (PBE)

Data for an optimized crystal structure of Dy2NiTe.

Computed properties:
E above lowest polymorph = 0 meV/atom
ΔE_f (raw) = -322.0 kJ/mol of formula units
space-group type = Cmcm (63)

Geometry as extended XYZ:
```
8
Lattice="2.014 -11.251 0.000 2.014 11.251 0.000 0.000 0.000 4.369" Properties=species:S:1:pos:R:3 pbc="T T T"
Dy 2.014 9.990 3.276
Dy 2.014 3.529 3.276
Dy 2.014 -3.529 1.092
Dy 2.014 -9.990 1.092
Ni 2.014 0.723 3.276
Ni 2.014 -0.723 1.092
Te 2.014 6.856 3.276
Te 2.014 -6.856 1.092
```

## Dy5NiTe5 (PBE)

Data for an optimized crystal structure of Dy5NiTe5.

Computed properties:
ΔE_f (raw) = -1198.2 kJ/mol of formula units
space-group type = C2/m (12)

Geometry as extended XYZ:
```
11
Lattice="6.850 -3.063 0.000 6.850 3.063 0.000 -2.842 0.000 7.999" Properties=species:S:1:pos:R:3 pbc="T T T"
Dy 0.000 0.000 0.000
Dy 4.286 0.000 1.236
Dy 2.876 0.000 5.639
Dy 7.984 0.000 2.360
Dy 6.573 0.000 6.763
Ni 6.850 0.000 0.000
Te -0.081 0.000 6.561
Te 1.514 0.000 2.710
Te 5.430 0.000 3.999
Te 9.346 0.000 5.289
Te 10.940 0.000 1.438
```

## Dy2NiTe (PBE)

Data for an optimized crystal structure of Dy2NiTe.

Computed properties:
E above lowest polymorph = 37 meV/atom
ΔE_f (raw) = -307.7 kJ/mol of formula units
space-group type = R-3m (166)

Geometry as extended XYZ:
```
4
Lattice="2.020 1.166 7.264 -2.020 1.166 7.264 0.000 -2.332 7.264" Properties=species:S:1:pos:R:3 pbc="T T T"
Dy 0.000 0.000 5.135
Dy 0.000 0.000 16.657
Ni 0.000 0.000 10.896
Te 0.000 0.000 0.000
```

## Dy5NiTe2 (PBE)

Data for an optimized crystal structure of Dy5NiTe2.

Computed properties:
E above lowest polymorph = 225 meV/atom
ΔE_f (raw) = -403.2 kJ/mol of formula units
space-group type = Cmcm (63)

Geometry as extended XYZ:
```
16
Lattice="2.933 -5.854 0.000 2.933 5.854 0.000 0.000 0.000 14.028" Properties=species:S:1:pos:R:3 pbc="T T T"
Dy 2.933 5.106 8.749
Dy 2.933 5.106 12.293
Dy 2.933 2.033 3.507
Dy 2.933 1.417 8.613
Dy 2.933 1.417 12.429
Dy 2.933 -1.417 1.599
Dy 2.933 -1.417 5.415
Dy 2.933 -2.033 10.521
Dy 2.933 -5.106 1.735
Dy 2.933 -5.106 5.279
Ni 2.933 3.241 10.521
Ni 2.933 -3.241 3.507
Te 2.933 3.590 0.900
Te 2.933 3.590 6.114
Te 2.933 -3.590 7.914
Te 2.933 -3.590 13.128
```

## Dy4Ni2Te (PBE)

Data for an optimized crystal structure of Dy4Ni2Te.

Computed properties:
ΔE_f (raw) = -322.8 kJ/mol of formula units
space-group type = Imma (74)

Geometry as extended XYZ:
```
14
Lattice="-4.027 4.781 5.055 4.027 -4.781 5.055 4.027 4.781 -5.055" Properties=species:S:1:pos:R:3 pbc="T T T"
Dy 2.332 2.390 -0.131
Dy 5.721 2.390 -0.131
Dy 0.000 0.607 2.481
Dy 4.027 0.607 2.573
Dy 0.000 4.174 2.481
Dy 4.027 4.174 2.573
Dy -1.695 2.390 5.186
Dy 1.695 2.390 5.186
Ni 4.027 0.000 0.000
Ni -2.013 2.390 2.527
Ni 0.000 0.000 5.055
Ni 2.013 2.390 2.527
Te 4.027 -2.390 2.907
Te 0.000 7.171 2.148
```

## Dy2Th3Ni2 (PBE)

Data for an optimized crystal structure of Dy2Th3Ni2.

Computed properties:
formation energy from the elements = -0.250 eV/atom
space-group type = C2/m (12)

Geometry as extended XYZ:
```
7
Lattice="5.856 -1.857 0.000 5.856 1.857 0.000 -3.109 0.000 8.386" Properties=species:S:1:pos:R:3 pbc="T T T"
Dy 1.013 0.000 2.560
Dy 7.591 0.000 5.825
Th 4.268 0.000 0.556
Th 4.302 0.000 4.193
Th 4.336 0.000 7.829
Ni -0.514 0.000 5.914
Ni 9.117 0.000 2.471
```

## Dy3Th2Ni2 (PBE)

Data for an optimized crystal structure of Dy3Th2Ni2.

Computed properties:
formation energy from the elements = -0.252 eV/atom
space-group type = C2/m (12)

Geometry as extended XYZ:
```
7
Lattice="6.040 -1.804 0.000 6.040 1.804 0.000 -3.722 0.000 8.177" Properties=species:S:1:pos:R:3 pbc="T T T"
Dy 0.000 0.000 0.000
Dy -0.216 0.000 3.536
Dy 8.574 0.000 4.641
Th 3.291 0.000 1.480
Th 5.068 0.000 6.697
Ni 1.133 0.000 6.276
Ni 7.226 0.000 1.901
```

## DyTh4Ni4 (PBE)

Data for an optimized crystal structure of DyTh4Ni4.

Computed properties:
formation energy from the elements = -0.271 eV/atom
space-group type = P4_2/n (86)

Geometry as extended XYZ:
```
18
Lattice="8.585 0.000 0.000 0.000 8.585 0.000 0.000 0.000 5.797" Properties=species:S:1:pos:R:3 pbc="T T T"
Dy 2.146 2.146 1.449
Dy 6.439 6.439 4.348
Th 0.447 5.727 0.918
Th 1.435 8.138 3.816
Th 2.857 4.740 3.816
Th 3.845 7.150 0.918
Th 4.740 1.435 4.879
Th 5.727 3.845 1.981
Th 7.150 0.447 1.981
Th 8.138 2.857 4.879
Ni 0.257 5.362 3.694
Ni 1.070 8.328 0.796
Ni 3.223 4.549 0.796
Ni 4.036 7.515 3.694
Ni 4.549 1.070 2.103
Ni 5.362 4.036 5.001
Ni 7.515 0.257 5.001
Ni 8.328 3.223 2.103
```

## DyThNi (PBE)

Data for an optimized crystal structure of DyThNi.

Computed properties:
E above lowest polymorph = 0 meV/atom
formation energy from the elements = -0.179 eV/atom
space-group type = I4mm (107)

Geometry as extended XYZ:
```
3
Lattice="-1.753 1.753 5.958 1.753 -1.753 5.958 1.753 1.753 -5.958" Properties=species:S:1:pos:R:3 pbc="T T T"
Dy 0.000 0.000 0.000
Th 0.000 0.000 3.324
Ni 0.000 0.000 7.752
```

no.,magnetic moment (μB per atom)
1,0.000
2,0.000
3,0.000
4,0.000
5,0.000
6,0.000
7,0.000
8,0.000
9,0.000
10,0.000
11,0.000
12,0.000